The following is a DFT calculation (PBE-GGA) of Hf5Fe2Sb after structural relaxation.

Unit cell a=6.9047 b=6.9047 c=8.1792 alpha=114.97 beta=114.97 gamma=90.00
Last column: nearest neighbours and their distance in Å.
Atoms (fractional coordinates):
Hf1 0.5257 0.7119 0.7376  3 Fe 2.63-2.68
Hf2 0.7881 0.9743 0.2624  3 Fe 2.63-2.68
Hf3 0.0000 0.0000 0.0000  4 Fe 2.67
Hf4 0.5000 0.5000 0.0000  4 Fe 2.67
Hf5 0.2119 0.0257 0.7376  3 Fe 2.63-2.68
Hf6 0.7119 0.2119 0.7376  3 Fe 2.63-2.68
Hf7 0.0257 0.5257 0.7376  3 Fe 2.63-2.68
Hf8 0.2881 0.7881 0.2624  3 Fe 2.63-2.68
Hf9 0.9743 0.4743 0.2624  3 Fe 2.63-2.68
Hf10 0.4743 0.2881 0.2624  3 Fe 2.63-2.68
Fe1 0.1394 0.3606 0.0000  8 Hf 2.63-2.68, 1 Fe 2.72
Fe2 0.6394 0.1394 0.0000  8 Hf 2.63-2.68, 1 Fe 2.72
Fe3 0.3606 0.8606 0.0000  8 Hf 2.63-2.68, 1 Fe 2.72
Fe4 0.8606 0.6394 0.0000  8 Hf 2.63-2.68, 1 Fe 2.72
Sb1 0.7500 0.7500 0.5000  10 Hf 3.04-3.28
Sb2 0.2500 0.2500 0.5000  10 Hf 3.04-3.28

Its space-group type is I4/mcm. Its uncorrected formation energy is -0.293 eV/atom. The total magnetization is 0.00 μB/atom.